1.
The following is a DFT calculation (PBE) of a relaxed structure of Ga2ReH.

Cell: 4.270 4.270 4.270 Å, 60.00 60.00 60.00°
Atoms (fractional coordinates):
Ga1 0.250 0.250 0.250
Ga2 0.750 0.750 0.750
H1 0.000 0.000 0.000
Re1 0.500 0.500 0.500

Properties
Energy relative to the lowest polymorph listed for this composition   0 meV per atom
Symmetry   Fm-3m
Crystal system   cubic

2.
The following is a DFT calculation (PBE) of a relaxed structure of BaNa2CaMo.

Cell: 6.038 6.999 6.038 Å, 90.00 90.00 90.00°
Atoms (fractional coordinates):
Na1 0.500 0.000 0.000
Na2 0.000 0.000 0.500
Mo1 0.500 0.500 0.500
Ca1 0.000 0.000 0.000
Ba1 0.000 0.500 0.000

Properties
Symmetry   P4/mmm
Crystal system   tetragonal
Energy of formation   142.43 kJ per mole of atoms

3.
The following is a DFT calculation (PBE) of a relaxed structure of Ce3HoTh3.

Cell: 8.294 8.294 8.294 Å, 63.61 63.61 63.61°
Atoms (fractional coordinates):
Th1 0.122 0.672 0.835
Th2 0.672 0.835 0.122
Th3 0.328 0.165 0.878
Th4 0.835 0.122 0.672
Th5 0.878 0.328 0.165
Th6 0.165 0.878 0.328
Ce1 0.494 0.317 0.050
Ce2 0.683 0.950 0.506
Ce3 0.050 0.494 0.317
Ce4 0.317 0.050 0.494
Ce5 0.950 0.506 0.683
Ce6 0.506 0.683 0.950
Ho1 0.422 0.422 0.422
Ho2 0.578 0.578 0.578

Properties
Symmetry   R-3
Crystal system   trigonal
Energy of formation   26.23 kJ per mole of atoms

4.
The following is a DFT calculation (PBE) of a relaxed structure of Mg2FeCuBr.

Cell: 5.079 4.315 5.079 Å, 90.00 90.00 90.00°
Atoms (fractional coordinates):
Mg1 0.000 0.000 0.500
Mg2 0.500 0.000 0.000
Cu1 0.000 0.500 0.000
Fe1 0.000 0.000 0.000
Br1 0.500 0.500 0.500

Properties
Symmetry   P4/mmm
Crystal system   tetragonal
VASP energy   -2.89 eV/atom

5.
The following is a DFT calculation (PBE) of a relaxed structure of NaNi.

Cell: 5.591 5.591 5.537 Å, 90.00 90.00 90.00°
Atoms (fractional coordinates):
Ni1 0.358 0.358 0.000
Ni2 0.642 0.642 0.000
Ni3 0.142 0.858 0.500
Ni4 0.858 0.142 0.500
Na1 0.319 0.319 0.500
Na2 0.681 0.681 0.500
Na3 0.181 0.819 0.000
Na4 0.819 0.181 0.000

Properties
Symmetry   P4_2/mnm
Crystal system   tetragonal
Energy of formation   87.34 kJ per mole of atoms

6.
The following is a DFT calculation (PBE) of a relaxed structure of La2ScTlO.

Cell: 5.628 5.218 5.628 Å, 90.00 90.00 90.00°
Atoms (fractional coordinates):
La1 0.000 0.000 0.500
La2 0.500 0.000 0.000
Sc1 0.000 0.000 0.000
O1 0.500 0.500 0.500
Tl1 0.000 0.500 0.000

Properties
Energy relative to the lowest polymorph listed for this composition   1935 meV per atom
Symmetry   P4/mmm
Crystal system   tetragonal

7.
The following is a DFT calculation (PBE) of a relaxed structure of Pr2SnBr.

Cell: 3.632 3.632 8.537 Å, 90.00 90.00 90.00°
Atoms (fractional coordinates):
Pr1 0.000 0.000 0.748
Pr2 0.000 0.000 0.252
Br1 0.500 0.500 0.000
Sn1 0.500 0.500 0.500

Properties
Energy relative to the lowest polymorph listed for this composition   148 meV per atom
Symmetry   P4/mmm
Crystal system   tetragonal

8.
The following is a DFT calculation (PBE) of a relaxed structure of NiAgBiAs2.

Cell: 4.906 5.548 4.906 Å, 90.00 90.00 90.00°
Atoms (fractional coordinates):
Ni1 0.500 0.500 0.500
Bi1 0.000 0.500 0.000
Ag1 0.000 0.000 0.000
As1 0.000 0.000 0.500
As2 0.500 0.000 0.000

Properties
Symmetry   P4/mmm
Crystal system   tetragonal
Energy of formation   111.29 kJ per mole of atoms

9.
The following is a DFT calculation (PBE) of a relaxed structure of TbLuCo2.

Cell: 3.316 4.671 4.671 Å, 90.00 90.00 90.00°
Atoms (fractional coordinates):
Co1 0.000 0.500 0.000
Co2 0.000 0.000 0.500
Tb1 0.500 0.500 0.500
Lu1 0.500 0.000 0.000

Properties
Symmetry   P4/mmm
Crystal system   tetragonal
Energy of formation   -17.70 kJ per mole of atoms

10.
The following is a DFT calculation (PBE) of a relaxed structure of Mo2IrOs.

Cell: 4.832 4.832 4.832 Å, 132.38 132.38 69.63°
Atoms (fractional coordinates):
Ir1 0.750 0.250 0.500
Mo1 0.250 0.750 0.500
Mo2 0.000 0.000 0.000
Os1 0.500 0.500 0.000

Properties
Energy relative to the lowest polymorph listed for this composition   74 meV per atom
Symmetry   I-4m2
Crystal system   tetragonal
Energy of formation   -5.66 kJ per mole of atoms

11.
The following is a DFT calculation (PBE) of a relaxed structure of La3S3F2.

Cell: 3.862 6.763 13.854 Å, 90.00 90.00 106.59°
Atoms (fractional coordinates):
La1 0.378 0.757 0.556
La2 0.352 0.704 0.250
La3 0.622 0.243 0.444
La4 0.648 0.296 0.750
La5 0.378 0.757 0.944
La6 0.622 0.243 0.056
S1 0.313 0.626 0.750
S2 0.050 0.099 0.890
S3 0.950 0.901 0.390
S4 0.687 0.374 0.250
S5 0.950 0.901 0.110
S6 0.050 0.099 0.610
F1 0.753 0.506 0.926
F2 0.247 0.494 0.426
F3 0.753 0.506 0.574
F4 0.247 0.494 0.074

Properties
Symmetry   Cmcm
Crystal system   orthorhombic
VASP energy   -6.61 eV/atom

12.
The following is a DFT calculation (PBE) of a relaxed structure of YTi2Mo2.

Cell: 4.093 4.093 6.609 Å, 71.96 71.96 90.00°
Atoms (fractional coordinates):
Mo1 0.396 0.396 0.208
Mo2 0.604 0.604 0.792
Ti1 0.250 0.750 0.500
Ti2 0.750 0.250 0.500
Y1 0.000 0.000 0.000

Properties
Energy relative to the lowest polymorph listed for this composition   77 meV per atom
Symmetry   I4/mmm
Crystal system   tetragonal
Energy of formation   28.17 kJ per mole of atoms